one.
The following is a DFT calculation (PBE-GGA) of a relaxed structure of Hf2ZrRh2.

Summary:
- Symmetry: P4/mbm (127)
- Crystal system: tetragonal

Unit cell a=7.916 b=7.916 c=2.995 alpha=90.00 beta=90.00 gamma=90.00
Fractional coordinates of all 10 atoms:
Hf 0.148 0.352 0.000
Hf 0.352 0.852 0.000
Hf 0.648 0.148 0.000
Hf 0.852 0.648 0.000
Zr 0.000 0.000 0.000
Zr 0.500 0.500 0.000
Rh 0.149 0.649 0.500
Rh 0.351 0.149 0.500
Rh 0.649 0.851 0.500
Rh 0.851 0.351 0.500

two.
The following is a DFT calculation (PBE-GGA) of a relaxed structure of Hf2ZrRh2.

Summary:
- Symmetry: Cmmm (65)
- Crystal system: orthorhombic

Unit cell a=9.994 b=9.994 c=3.015 alpha=90.00 beta=90.00 gamma=161.39
Fractional coordinates of all 5 atoms:
Hf 0.179 0.821 0.000
Hf 0.821 0.179 0.000
Zr 0.000 0.000 0.000
Rh 0.408 0.592 0.500
Rh 0.592 0.408 0.500

three.
The following is a DFT calculation (PBE-GGA) of a relaxed structure of Hf2ZrRh2.

Summary:
- Symmetry: P4/mbm (127)
- Crystal system: tetragonal

Unit cell a=7.563 b=7.563 c=3.318 alpha=90.00 beta=90.00 gamma=90.00
Fractional coordinates of all 10 atoms:
Hf 0.164 0.336 0.000
Hf 0.336 0.836 0.000
Hf 0.664 0.164 0.000
Hf 0.836 0.664 0.000
Zr 0.000 0.000 0.500
Zr 0.500 0.500 0.500
Rh 0.132 0.632 0.500
Rh 0.368 0.132 0.500
Rh 0.632 0.868 0.500
Rh 0.868 0.368 0.500

It is three that is the most stable of them.

one.
The following is a DFT calculation (PBE-GGA) of a relaxed structure of HfZr4Rh.

Summary:
- Symmetry: C2/m (12)
- Crystal system: monoclinic

Unit cell a=5.730 b=5.730 c=5.958 alpha=120.13 beta=120.13 gamma=51.01
Fractional coordinates of all 6 atoms:
Hf 0.000 0.000 0.000
Zr 0.303 0.303 0.662
Zr 0.348 0.348 0.188
Zr 0.652 0.652 0.812
Zr 0.697 0.697 0.338
Rh 0.000 0.000 0.500

two.
The following is a DFT calculation (PBE-GGA) of a relaxed structure of HfZr4Rh.

Summary:
- Symmetry: C2/c (15)
- Crystal system: monoclinic

Unit cell a=7.417 b=7.417 c=5.648 alpha=100.92 beta=100.92 gamma=115.61
Fractional coordinates of all 12 atoms:
Hf 0.109 0.891 0.750
Hf 0.891 0.109 0.250
Zr 0.118 0.309 0.859
Zr 0.206 0.579 0.439
Zr 0.309 0.118 0.359
Zr 0.421 0.794 0.061
Zr 0.579 0.206 0.939
Zr 0.691 0.882 0.641
Zr 0.794 0.421 0.561
Zr 0.882 0.691 0.141
Rh 0.493 0.507 0.750
Rh 0.507 0.493 0.250

It is one that is the most stable of them.

one.
The following is a DFT calculation (PBE-GGA) of a relaxed structure of Hf2RuS2.

Summary:
- Symmetry: I4/mmm (139)
- Crystal system: tetragonal

Unit cell a=5.095 b=5.095 c=5.095 alpha=121.71 beta=121.71 gamma=87.07
Fractional coordinates of all 5 atoms:
Hf 0.250 0.750 0.500
Hf 0.750 0.250 0.500
Ru 0.000 0.000 0.000
S 0.312 0.312 0.000
S 0.688 0.688 0.000

two.
The following is a DFT calculation (PBE-GGA) of a relaxed structure of Hf2RuS2.

Summary:
- Symmetry: P4/mbm (127)
- Crystal system: tetragonal

Unit cell a=6.933 b=6.933 c=3.291 alpha=90.00 beta=90.00 gamma=90.00
Fractional coordinates of all 10 atoms:
Hf 0.159 0.341 0.000
Hf 0.341 0.841 0.000
Hf 0.659 0.159 0.000
Hf 0.841 0.659 0.000
Ru 0.000 0.000 0.500
Ru 0.500 0.500 0.500
S 0.147 0.647 0.500
S 0.353 0.147 0.500
S 0.647 0.853 0.500
S 0.853 0.353 0.500

It is two that is the most stable of them.

one.
The following is a DFT calculation (PBE-GGA) of a relaxed structure of HfSbRu3.

Summary:
- Symmetry: Pm-3m (221)
- Crystal system: cubic

Unit cell a=4.711 b=4.711 c=4.711 alpha=90.00 beta=90.00 gamma=90.00
Fractional coordinates of all 5 atoms:
Hf 0.000 0.000 0.000
Sb 0.500 0.500 0.500
Ru 0.000 0.500 0.500
Ru 0.500 0.000 0.500
Ru 0.500 0.500 0.000

two.
The following is a DFT calculation (PBE-GGA) of a relaxed structure of HfSbRu3.

Summary:
- Symmetry: Pm-3m (221)
- Crystal system: cubic

Unit cell a=4.761 b=4.761 c=4.761 alpha=90.00 beta=90.00 gamma=90.00
Fractional coordinates of all 5 atoms:
Hf 0.000 0.000 0.000
Sb 0.500 0.500 0.500
Ru 0.000 0.000 0.500
Ru 0.000 0.500 0.000
Ru 0.500 0.000 0.000

It is one that is the most stable of them.

one.
The following is a DFT calculation (PBE-GGA) of a relaxed structure of HfSbTe2Ru.

Summary:
- Symmetry: P4/mmm (123)
- Crystal system: tetragonal

Unit cell a=5.475 b=5.475 c=5.515 alpha=90.00 beta=90.00 gamma=90.00
Fractional coordinates of all 5 atoms:
Hf 0.000 0.000 0.000
Sb 0.000 0.000 0.500
Te 0.000 0.500 0.000
Te 0.500 0.000 0.000
Ru 0.500 0.500 0.500

two.
The following is a DFT calculation (PBE-GGA) of a relaxed structure of HfSbTe2Ru.

Summary:
- Symmetry: P4/mmm (123)
- Crystal system: tetragonal

Unit cell a=5.269 b=5.269 c=4.900 alpha=90.00 beta=90.00 gamma=90.00
Fractional coordinates of all 5 atoms:
Hf 0.000 0.000 0.000
Sb 0.500 0.500 0.000
Te 0.000 0.500 0.500
Te 0.500 0.000 0.500
Ru 0.500 0.500 0.500

three.
The following is a DFT calculation (PBE-GGA) of a relaxed structure of HfSbTe2Ru.

Summary:
- Symmetry: P4/mmm (123)
- Crystal system: tetragonal

Unit cell a=5.663 b=5.663 c=5.367 alpha=90.00 beta=90.00 gamma=90.00
Fractional coordinates of all 5 atoms:
Hf 0.000 0.000 0.000
Sb 0.000 0.000 0.500
Te 0.000 0.500 0.500
Te 0.500 0.000 0.500
Ru 0.500 0.500 0.000

It is two that is the most stable of them.

one.
The following is a DFT calculation (PBE-GGA) of a relaxed structure of HfSc2Ru.

Summary:
- Symmetry: P4/mmm (123)
- Crystal system: tetragonal

Unit cell a=3.226 b=3.226 c=7.634 alpha=90.00 beta=90.00 gamma=90.00
Fractional coordinates of all 4 atoms:
Hf 0.000 0.000 0.000
Sc 0.500 0.500 0.297
Sc 0.500 0.500 0.703
Ru 0.000 0.000 0.500

two.
The following is a DFT calculation (PBE-GGA) of a relaxed structure of HfSc2Ru.

Summary:
- Symmetry: I-42d (122)
- Crystal system: tetragonal

Unit cell a=6.210 b=6.210 c=6.210 alpha=101.75 beta=101.75 gamma=126.35
Fractional coordinates of all 8 atoms:
Hf 0.000 0.000 0.000
Hf 0.750 0.250 0.500
Sc 0.188 0.625 0.063
Sc 0.375 0.438 0.563
Sc 0.562 0.125 0.937
Sc 0.875 0.812 0.437
Ru 0.250 0.750 0.500
Ru 0.500 0.500 0.000

It is one that is the most stable of them.